[1]
## Dy6Y3Er2Sc (PBE)

Data for a geometry-optimized Dy6Y3Er2Sc structure.

Values from the calculation:
Density of states at the Fermi level ... 17.31 states/eV/cell
Formation energy from the elements ... 30 meV per atom
V ... 30.82 A^3/atom

Cell lengths 6.098, 6.098, 11.655 Å; angles 94.99, 94.99, 119.95 degrees
Fractional coordinates of all 12 atoms:
Dy 0.082 0.413 0.246
Dy 0.750 0.750 0.246
Dy 0.413 0.082 0.246
Dy 0.250 0.250 0.754
Dy 0.918 0.587 0.754
Dy 0.587 0.918 0.754
Sc 0.000 0.000 0.000
Er 0.667 0.333 0.000
Er 0.333 0.667 0.000
Y 0.834 0.166 0.500
Y 0.166 0.834 0.500
Y 0.500 0.500 0.500

---

[2]
## LiErTmCr (PBE)

Data for a geometry-optimized LiErTmCr structure.

Values from the calculation:
Density of states at the Fermi level ... 2.79 states/eV/cell
Formation energy from the elements ... 160 meV per atom
V ... 22.33 A^3/atom

Cell lengths 5.018, 5.018, 5.018 Å; angles 60.00, 60.00, 60.00 degrees
Fractional coordinates of all 4 atoms:
Tm 0.250 0.250 0.250
Cr 0.500 0.500 0.500
Er 0.750 0.750 0.750
Li 0.000 0.000 0.000

---

[3]
## Er3ScTl4S8 (PBE)

Data for a geometry-optimized Er3ScTl4S8 structure.

Values from the calculation:
Energy relative to the elements, uncorrected ... -1455 meV/atom
V ... 25.38 A^3/atom

Cell lengths 7.899, 8.790, 7.899 Å; angles 116.70, 120.00, 90.00 degrees
Fractional coordinates of all 16 atoms:
S 0.226 0.693 0.453
S 0.774 0.307 0.033
S 0.732 0.697 0.465
S 0.260 0.307 0.033
S 0.740 0.693 0.967
S 0.226 0.693 0.967
S 0.774 0.307 0.547
S 0.268 0.303 0.535
Tl 0.500 0.000 0.000
Tl 0.500 0.000 0.500
Tl 0.000 0.000 0.500
Tl 0.000 0.000 0.000
Er 0.500 0.500 0.000
Er 0.000 0.500 0.500
Er 0.500 0.500 0.500
Sc 0.000 0.500 0.000

---

[4]
## BiRhPb3 (PBE)

Data for a geometry-optimized BiRhPb3 structure.

Values from the calculation:
Density of states at the Fermi level ... 6.02 states/eV/cell
Relative energy among the computed polymorphs ... 0.000 eV/atom
Formation energy from the elements ... -33 meV per atom
V ... 28.11 A^3/atom

Cell lengths 7.215, 7.215, 7.283 Å; angles 103.18, 122.81, 102.89 degrees
Fractional coordinates of all 10 atoms:
Pb 0.225 0.442 0.269
Pb 0.274 0.545 0.819
Pb 0.726 0.455 0.181
Pb 0.173 0.956 0.731
Pb 0.775 0.558 0.731
Pb 0.827 0.044 0.269
Rh 0.618 0.756 0.374
Rh 0.382 0.244 0.626
Bi 0.279 0.950 0.229
Bi 0.721 0.050 0.771

---

[5]
## NaCd2Tc (PBE)

Data for a geometry-optimized NaCd2Tc structure.

Values from the calculation:
Density of states at the Fermi level ... 8.48 states/eV/cell
Relative energy among the computed polymorphs ... 0.387 eV/atom
Formation energy from the elements ... 880 meV per atom
V ... 23.27 A^3/atom

Cell lengths 4.331, 4.331, 10.386 Å; angles 77.96, 77.96, 90.00 degrees
Fractional coordinates of all 8 atoms:
Cd 0.104 0.625 0.250
Cd 0.875 0.896 0.750
Cd 0.375 0.354 0.750
Cd 0.646 0.125 0.250
Na 0.500 0.500 0.000
Na 0.250 0.750 0.500
Tc 0.000 0.000 0.000
Tc 0.750 0.250 0.500

---

[6]
## ZnRu2 (PBE)

Data for a geometry-optimized ZnRu2 structure.

Values from the calculation:
Density of states at the Fermi level ... 6.60 states/eV/cell
Formation energy from the elements ... 505 meV per atom
V ... 15.58 A^3/atom

Cell lengths 5.094, 5.094, 5.094 Å; angles 60.00, 60.00, 60.00 degrees
Fractional coordinates of all 6 atoms:
Zn 0.250 0.250 0.250
Zn 0.000 0.000 0.000
Ru 0.625 0.625 0.125
Ru 0.125 0.625 0.625
Ru 0.625 0.125 0.625
Ru 0.625 0.625 0.625

---

[7]
## ThTcSb (PBE)

Data for a geometry-optimized ThTcSb structure.

Values from the calculation:
Energy relative to the elements, uncorrected ... -305 meV/atom
Density of states at the Fermi level ... 4.58 states/eV/cell
Relative energy among the computed polymorphs ... 0.251 eV/atom
V ... 23.59 A^3/atom

Cell lengths 3.695, 4.703, 4.703 Å; angles 120.00, 90.00, 90.00 degrees
Fractional coordinates of all 3 atoms:
Sb 0.167 0.000 0.000
Tc 0.167 0.333 0.667
Th 0.666 0.667 0.333

---

[8]
## AgBTeI2 (PBE)

Data for a geometry-optimized AgBTeI2 structure.

Values from the calculation:
Energy relative to the elements, uncorrected ... 784 meV/atom
Density of states at the Fermi level ... 3.24 states/eV/cell
Relative energy among the computed polymorphs ... 0.000 eV/atom
V ... 26.25 A^3/atom

Cell lengths 5.116, 5.116, 5.014 Å; angles 90.00, 90.00, 90.00 degrees
Fractional coordinates of all 5 atoms:
I 0.500 0.000 0.000
I 0.000 0.500 0.000
Te 0.000 0.000 0.500
B 0.000 0.000 0.000
Ag 0.500 0.500 0.500

---

[9]
## Ac5Er2Sn5 (PBE)

Data for a geometry-optimized Ac5Er2Sn5 structure.

Values from the calculation:
Density of states at the Fermi level ... 6.80 states/eV/cell
Formation energy from the elements ... -530 meV per atom
V ... 38.29 A^3/atom

Cell lengths 4.704, 8.141, 13.316 Å; angles 108.85, 90.00, 106.79 degrees
Fractional coordinates of all 12 atoms:
Ac 0.263 0.526 0.650
Ac 0.339 0.677 0.956
Ac 0.661 0.323 0.044
Ac 0.737 0.474 0.350
Ac 0.500 0.000 0.500
Er 0.048 0.096 0.793
Er 0.952 0.904 0.207
Sn 0.110 0.220 0.411
Sn 0.890 0.780 0.589
Sn 0.322 0.643 0.209
Sn 0.678 0.357 0.791
Sn 0.000 0.000 0.000

---

[10]
## ScGa3Bi (PBE)

Data for a geometry-optimized ScGa3Bi structure.

Values from the calculation:
Density of states at the Fermi level ... 4.52 states/eV/cell
Relative energy among the computed polymorphs ... 0.313 eV/atom
Formation energy from the elements ... 759 meV per atom
V ... 31.58 A^3/atom

Cell lengths 5.405, 5.405, 5.405 Å; angles 90.00, 90.00, 90.00 degrees
Fractional coordinates of all 5 atoms:
Ga 0.000 0.000 0.500
Ga 0.500 0.000 0.000
Ga 0.000 0.500 0.000
Sc 0.500 0.500 0.500
Bi 0.000 0.000 0.000

---

[11]
## YHoSe2 (PBE)

Data for a geometry-optimized YHoSe2 structure.

Values from the calculation:
Energy relative to the elements, uncorrected ... -1733 meV/atom
Density of states at the Fermi level ... 3.39 states/eV/cell
Relative energy among the computed polymorphs ... 0.011 eV/atom
V ... 23.97 A^3/atom

Cell lengths 3.991, 3.991, 13.903 Å; angles 90.00, 90.00, 120.00 degrees
Fractional coordinates of all 8 atoms:
Y 0.000 0.000 0.500
Y 0.000 0.000 0.000
Ho 0.667 0.333 0.250
Ho 0.333 0.667 0.750
Se 0.667 0.333 0.624
Se 0.333 0.667 0.376
Se 0.667 0.333 0.876
Se 0.333 0.667 0.124

---

[12]
## CoIr9W2 (PBE)

Data for a geometry-optimized CoIr9W2 structure.

Values from the calculation:
Density of states at the Fermi level ... 9.65 states/eV/cell
Formation energy from the elements ... -205 meV per atom
V ... 14.51 A^3/atom

Cell lengths 3.875, 3.875, 11.590 Å; angles 90.00, 90.00, 90.00 degrees
Fractional coordinates of all 12 atoms:
Ir 0.500 0.000 0.500
Ir 0.500 0.000 0.834
Ir 0.000 0.500 0.500
Ir 0.500 0.500 0.667
Ir 0.000 0.500 0.166
Ir 0.500 0.500 0.000
Ir 0.500 0.000 0.166
Ir 0.000 0.500 0.834
Ir 0.500 0.500 0.333
Co 0.000 0.000 0.000
W 0.000 0.000 0.326
W 0.000 0.000 0.674

---

The magnetization results, record by record, are as follows: 0.0000, 0.8077, 0.0000, 0.0000, 0.6557, 0.3886, 0.0001, 0.0000, 0.0227, 0.0000, 0.0000, 0.1720 μB per atom.